# KCd2Ag GGA-PBE optimized geometry
# **Total energy**: -1.430 eV/atom
# **ΔE_f**: 0.015 eV/atom
# **Relative energy among the computed polymorphs**: 0.085 eV per atom
# **Space group**: Pmm2
data_KCd2Ag
_space_group_name_H-M_alt 'P 1'
_space_group_IT_number 1
_cell_length_a 3.214
_cell_length_b 4.173
_cell_length_c 8.106
_cell_angle_alpha 90.00
_cell_angle_beta 90.00
_cell_angle_gamma 90.00
loop_
_space_group_symop_operation_xyz
'x,y,z'
loop_
_atom_site_label
_atom_site_type_symbol
_atom_site_fract_x
_atom_site_fract_y
_atom_site_fract_z
_atom_site_occupancy
K1 K 0.000 0.000 0.000 1
Cd1 Cd 0.000 0.000 0.457 1
Cd2 Cd 0.500 0.500 0.687 1
Ag1 Ag 0.500 0.500 0.306 1

***

# TlFe2Cl4 GGA-PBE optimized geometry
# **Total energy**: -4.461 eV/atom
# **Formation energy (no corrections)**: -0.650 eV per atom
# **Space group**: P-1
data_TlFe2Cl4
_space_group_name_H-M_alt 'P 1'
_space_group_IT_number 1
_cell_length_a 5.205
_cell_length_b 6.809
_cell_length_c 6.857
_cell_angle_alpha 64.30
_cell_angle_beta 71.41
_cell_angle_gamma 70.41
loop_
_space_group_symop_operation_xyz
'x,y,z'
loop_
_atom_site_label
_atom_site_type_symbol
_atom_site_fract_x
_atom_site_fract_y
_atom_site_fract_z
_atom_site_occupancy
Tl1 Tl 0.000 0.000 0.000 1
Fe1 Fe 0.214 0.508 0.533 1
Fe2 Fe 0.786 0.492 0.467 1
Cl1 Cl 0.185 0.449 0.217 1
Cl2 Cl 0.431 0.809 0.345 1
Cl3 Cl 0.569 0.191 0.655 1
Cl4 Cl 0.815 0.551 0.783 1

***

# YTa2As2 GGA-PBE optimized geometry
# **Total energy**: -8.197 eV/atom
# **ΔE_f**: -0.303 eV/atom
# **Relative energy among the computed polymorphs**: 0.276 eV per atom
# **Space group**: I4/mmm
data_YTa2As2
_space_group_name_H-M_alt 'P 1'
_space_group_IT_number 1
_cell_length_a 5.613
_cell_length_b 5.613
_cell_length_c 5.613
_cell_angle_alpha 128.29
_cell_angle_beta 128.29
_cell_angle_gamma 76.16
loop_
_space_group_symop_operation_xyz
'x,y,z'
loop_
_atom_site_label
_atom_site_type_symbol
_atom_site_fract_x
_atom_site_fract_y
_atom_site_fract_z
_atom_site_occupancy
Y1 Y 0.000 0.000 0.000 1
Ta1 Ta 0.357 0.357 0.000 1
Ta2 Ta 0.643 0.643 0.000 1
As1 As 0.250 0.750 0.500 1
As2 As 0.750 0.250 0.500 1

***

# Ac2MgBePd6 GGA-PBE optimized geometry
# **Total energy**: -5.140 eV/atom
# **ΔE_f**: -0.670 eV/atom
# **Space group**: C2/m
data_Ac2MgBePd6
_space_group_name_H-M_alt 'P 1'
_space_group_IT_number 1
_cell_length_a 6.053
_cell_length_b 6.053
_cell_length_c 7.394
_cell_angle_alpha 114.25
_cell_angle_beta 114.25
_cell_angle_gamma 59.96
loop_
_space_group_symop_operation_xyz
'x,y,z'
loop_
_atom_site_label
_atom_site_type_symbol
_atom_site_fract_x
_atom_site_fract_y
_atom_site_fract_z
_atom_site_occupancy
Ac1 Ac 0.238 0.238 0.214 1
Ac2 Ac 0.762 0.762 0.786 1
Mg1 Mg 0.500 0.500 0.000 1
Be1 Be 0.000 0.000 0.500 1
Pd1 Pd 0.237 0.237 0.686 1
Pd2 Pd 0.237 0.713 0.687 1
Pd3 Pd 0.287 0.763 0.313 1
Pd4 Pd 0.713 0.237 0.687 1
Pd5 Pd 0.763 0.287 0.313 1
Pd6 Pd 0.763 0.763 0.314 1

***

# Mn2CoHPt GGA-PBE optimized geometry
# **Total energy**: -7.033 eV/atom
# **Relative energy among the computed polymorphs**: 0.000 eV per atom
# **Space group**: P4/mmm
data_Mn2CoHPt
_space_group_name_H-M_alt 'P 1'
_space_group_IT_number 1
_cell_length_a 3.738
_cell_length_b 3.738
_cell_length_c 3.683
_cell_angle_alpha 90.00
_cell_angle_beta 90.00
_cell_angle_gamma 90.00
loop_
_space_group_symop_operation_xyz
'x,y,z'
loop_
_atom_site_label
_atom_site_type_symbol
_atom_site_fract_x
_atom_site_fract_y
_atom_site_fract_z
_atom_site_occupancy
Mn1 Mn 0.000 0.500 0.000 1
Mn2 Mn 0.500 0.000 0.000 1
Co1 Co 0.000 0.000 0.500 1
H1 H 0.000 0.000 0.000 1
Pt1 Pt 0.500 0.500 0.500 1

***

# PdRuW3 GGA-PBE optimized geometry
# **Total energy**: -8.797 eV/atom
# **ΔE_f**: 1.869 eV/atom
# **Relative energy among the computed polymorphs**: 0.000 eV per atom
# **Space group**: Pm-3m
data_PdRuW3
_space_group_name_H-M_alt 'P 1'
_space_group_IT_number 1
_cell_length_a 4.661
_cell_length_b 4.661
_cell_length_c 4.661
_cell_angle_alpha 90.00
_cell_angle_beta 90.00
_cell_angle_gamma 90.00
loop_
_space_group_symop_operation_xyz
'x,y,z'
loop_
_atom_site_label
_atom_site_type_symbol
_atom_site_fract_x
_atom_site_fract_y
_atom_site_fract_z
_atom_site_occupancy
Pd1 Pd 0.000 0.000 0.000 1
Ru1 Ru 0.500 0.500 0.500 1
W1 W 0.000 0.500 0.500 1
W2 W 0.500 0.000 0.500 1
W3 W 0.500 0.500 0.000 1

***

# TaAlBi2P GGA-PBE optimized geometry
# **Total energy**: -4.367 eV/atom
# **ΔE_f**: 1.386 eV/atom
# **Space group**: P4/mmm
data_TaAlBi2P
_space_group_name_H-M_alt 'P 1'
_space_group_IT_number 1
_cell_length_a 5.310
_cell_length_b 5.310
_cell_length_c 4.980
_cell_angle_alpha 90.00
_cell_angle_beta 90.00
_cell_angle_gamma 90.00
loop_
_space_group_symop_operation_xyz
'x,y,z'
loop_
_atom_site_label
_atom_site_type_symbol
_atom_site_fract_x
_atom_site_fract_y
_atom_site_fract_z
_atom_site_occupancy
Ta1 Ta 0.000 0.000 0.000 1
Al1 Al 0.000 0.000 0.500 1
Bi1 Bi 0.000 0.500 0.500 1
Bi2 Bi 0.500 0.000 0.500 1
P1 P 0.500 0.500 0.000 1

***

# SmDyZr2N4 GGA-PBE optimized geometry
# **Total energy**: -9.130 eV/atom
# **Formation energy (no corrections)**: -1.665 eV per atom
# **Space group**: P2/m
data_SmDyZr2N4
_space_group_name_H-M_alt 'P 1'
_space_group_IT_number 1
_cell_length_a 5.827
_cell_length_b 3.367
_cell_length_c 5.908
_cell_angle_alpha 90.00
_cell_angle_beta 109.25
_cell_angle_gamma 90.00
loop_
_space_group_symop_operation_xyz
'x,y,z'
loop_
_atom_site_label
_atom_site_type_symbol
_atom_site_fract_x
_atom_site_fract_y
_atom_site_fract_z
_atom_site_occupancy
Sm1 Sm 0.000 0.000 0.000 1
Dy1 Dy 0.500 0.500 0.000 1
Zr1 Zr 0.000 0.500 0.500 1
Zr2 Zr 0.500 0.000 0.500 1
N1 N 0.248 0.000 0.729 1
N2 N 0.262 0.500 0.275 1
N3 N 0.738 0.500 0.725 1
N4 N 0.752 0.000 0.271 1

***

# NdSnPbAu GGA-PBE optimized geometry
# **Total energy**: -4.306 eV/atom
# **ΔE_f**: -0.367 eV/atom
# **Space group**: F-43m
data_NdSnPbAu
_space_group_name_H-M_alt 'P 1'
_space_group_IT_number 1
_cell_length_a 5.359
_cell_length_b 5.359
_cell_length_c 5.359
_cell_angle_alpha 60.00
_cell_angle_beta 60.00
_cell_angle_gamma 60.00
loop_
_space_group_symop_operation_xyz
'x,y,z'
loop_
_atom_site_label
_atom_site_type_symbol
_atom_site_fract_x
_atom_site_fract_y
_atom_site_fract_z
_atom_site_occupancy
Nd1 Nd 0.000 0.000 0.000 1
Sn1 Sn 0.750 0.750 0.750 1
Pb1 Pb 0.500 0.500 0.500 1
Au1 Au 0.250 0.250 0.250 1

***

# AlTlSn2F8 GGA-PBE optimized geometry
# **Total energy**: -5.030 eV/atom
# **Formation energy (no corrections)**: -2.606 eV per atom
# **Space group**: P-1
data_AlTlSn2F8
_space_group_name_H-M_alt 'P 1'
_space_group_IT_number 1
_cell_length_a 5.139
_cell_length_b 5.372
_cell_length_c 7.688
_cell_angle_alpha 83.35
_cell_angle_beta 88.62
_cell_angle_gamma 86.41
loop_
_space_group_symop_operation_xyz
'x,y,z'
loop_
_atom_site_label
_atom_site_type_symbol
_atom_site_fract_x
_atom_site_fract_y
_atom_site_fract_z
_atom_site_occupancy
Al1 Al 0.000 0.000 0.000 1
Tl1 Tl 0.000 0.000 0.500 1
Sn1 Sn 0.495 0.485 0.771 1
Sn2 Sn 0.505 0.515 0.229 1
F1 F 0.155 0.800 0.846 1
F2 F 0.218 0.251 0.923 1
F3 F 0.236 0.879 0.174 1
F4 F 0.298 0.373 0.560 1
F5 F 0.702 0.627 0.440 1
F6 F 0.764 0.121 0.826 1
F7 F 0.782 0.749 0.077 1
F8 F 0.845 0.200 0.154 1

***

# SmTm2NpO8 GGA-PBE optimized geometry
# **Total energy**: -8.714 eV/atom
# **Formation energy (no corrections)**: -3.191 eV per atom
# **Space group**: Cmmm
data_SmTm2NpO8
_space_group_name_H-M_alt 'P 1'
_space_group_IT_number 1
_cell_length_a 5.068
_cell_length_b 5.068
_cell_length_c 7.015
_cell_angle_alpha 90.00
_cell_angle_beta 90.00
_cell_angle_gamma 90.14
loop_
_space_group_symop_operation_xyz
'x,y,z'
loop_
_atom_site_label
_atom_site_type_symbol
_atom_site_fract_x
_atom_site_fract_y
_atom_site_fract_z
_atom_site_occupancy
Sm1 Sm 0.000 0.000 0.000 1
Tm1 Tm 0.500 0.500 0.239 1
Tm2 Tm 0.500 0.500 0.761 1
Np1 Np 0.000 0.000 0.500 1
O1 O 0.188 0.812 0.281 1
O2 O 0.188 0.812 0.719 1
O3 O 0.282 0.282 0.500 1
O4 O 0.315 0.315 0.000 1
O5 O 0.685 0.685 0.000 1
O6 O 0.718 0.718 0.500 1
O7 O 0.812 0.188 0.281 1
O8 O 0.812 0.188 0.719 1

***

# Pu2InPd2 GGA-PBE optimized geometry
# **Total energy**: -8.823 eV/atom
# **ΔE_f**: -0.465 eV/atom
# **Space group**: P4/mbm
data_Pu2InPd2
_space_group_name_H-M_alt 'P 1'
_space_group_IT_number 1
_cell_length_a 7.568
_cell_length_b 7.568
_cell_length_c 3.977
_cell_angle_alpha 90.00
_cell_angle_beta 90.00
_cell_angle_gamma 90.00
loop_
_space_group_symop_operation_xyz
'x,y,z'
loop_
_atom_site_label
_atom_site_type_symbol
_atom_site_fract_x
_atom_site_fract_y
_atom_site_fract_z
_atom_site_occupancy
Pu1 Pu 0.172 0.328 0.000 1
Pu2 Pu 0.328 0.828 0.000 1
Pu3 Pu 0.672 0.172 0.000 1
Pu4 Pu 0.828 0.672 0.000 1
In1 In 0.000 0.000 0.500 1
In2 In 0.500 0.500 0.500 1
Pd1 Pd 0.131 0.631 0.500 1
Pd2 Pd 0.369 0.131 0.500 1
Pd3 Pd 0.631 0.869 0.500 1
Pd4 Pd 0.869 0.369 0.500 1